No. 1
This record from the Alexandria database describes a crystal of KCaPO2 relaxed with PBEsol. The functional is SCAN.

The space group is P4/mmm (No. 123) and the conventional cell measures 4.5364, 4.5364 and 5.1823 Å, with angles of 90.00, 90.00 and 90.00 degrees. The asymmetric unit holds K at (0.0000, 0.0000, 0.0000), Ca at (0.5000, 0.5000, 0.5000), P at (0.0000, 0.0000, 0.5000) and O at (0.0000, 0.5000, 0.0000).

The total energy comes out at -8.0164 eV per atom. The formation energy from raw total energies comes out at 154 meV/atom.

No. 2
This record from the Alexandria database describes a crystal of HgAu relaxed with PBEsol. The functional is SCAN.

The space group is P6_3/mmc (No. 194) and the conventional cell measures 4.3387, 4.3387 and 5.4188 Å, with angles of 90.00, 90.00 and 120.00 degrees. The asymmetric unit holds Hg at (0.3333, 0.6667, 0.2500) and Au at (0.0000, 0.0000, 0.0000).

The total energy comes out at -68.6817 eV per atom. The value obtained for the formation energy is -0.47 kcal/mol of atoms.

No. 3
This record from the Alexandria database describes a crystal of Cu3Pt2 relaxed with PBEsol. The functional is SCAN.

The space group is P4_2/m (No. 84) and the conventional cell measures 5.8052, 5.8052 and 3.8211 Å, with angles of 90.00, 90.00 and 90.00 degrees. The asymmetric unit holds Cu at (0.0000, 0.5000, 0.0000), Cu at (0.1026, 0.8130, 0.5000) and Pt at (0.2845, 0.3952, 0.5000).

The total energy comes out at -37.3153 eV per atom. The value obtained for the formation energy is -2.73 kcal/mol of atoms. Its polymorph energy (0 for the lowest one) is 2.8 kJ per mole of atoms.

No. 4
This record from the Alexandria database describes a crystal of Nb2MoSe2 relaxed with PBEsol. The functional is SCAN.

The space group is I4/mmm (No. 139) and the conventional cell measures 4.9373, 4.9373 and 7.5778 Å, with angles of 90.00, 90.00 and 90.00 degrees. The asymmetric unit holds Nb at (0.0000, 0.5000, 0.2500), Mo at (0.0000, 0.0000, 0.0000) and Se at (0.0000, 0.0000, 0.3317).

The total energy comes out at -27.9542 eV per atom. The formation energy from raw total energies comes out at 306 meV/atom.

Number 1: size of the total moment 3.089 Bohr magnetons per cell. Number 2: size of the total moment 0.000 Bohr magnetons per cell. Number 3: size of the total moment 0.000 Bohr magnetons per cell. Number 4: size of the total moment 0.001 Bohr magnetons per cell.